{
  "formula": "PrEuAl",
  "functional": "PBE-GGA",
  "state": "optimized geometry",
  "lattice_angstrom": [[5.282, 0.000, 0.000], [-2.641, 4.575, 0.000], [0.000, 0.000, 3.614]],
  "species": ["Pr", "Eu", "Al"],
  "frac_coords": [[0.000, 0.000, 0.000], [0.667, 0.333, 0.383], [0.333, 0.667, 0.698]],
  "vol_a3_per_cell": 87,
  "spacegroup": "P3m1, No. 156",
  "delta_e_f_ev_per_atom": -0.09,
  "relative_energy_kj_per_mol_atoms": 7.3,
  "total_energy_ev_per_atom": -6.351
}